Sb2AsCl | SCAN | single point on PBEsol structure

Values from the calculation:
The calculation puts the total DFT energy (no corrections) at -25.40 eV per atom. The energy relative to the elements, uncorrected comes out at 0.272 eV per atom. Its space group is Cmmm. The calculation puts the spin magnetization at 0.00 μB/f.u.

a = 3.2793 Å, b = 5.2337 Å, c = 5.2337 Å
α = 90.34°, β = 90.00°, γ = 90.00°
Fractional coordinates of all 4 atoms:
As 0.5000 0.0000 0.0000
Sb 0.0000 0.5000 0.0000
Sb 0.0000 0.0000 0.5000
Cl 0.5000 0.5000 0.5000